[1]
A plane-wave DFT calculation with PBEsol was carried out for K2ZnH after structural relaxation.

The structure in extended XYZ format:
```
16
Lattice="8.127 0.000 0.000 0.000 8.127 0.000 0.000 0.000 7.437" Properties=species:S:1:pos:R:3 pbc="T T T"
K 1.309 2.032 0.930
K 2.032 5.372 2.789
K 2.032 6.818 6.507
K 2.755 2.032 4.648
K 5.372 6.095 4.648
K 6.095 1.309 6.507
K 6.095 2.755 2.789
K 6.818 6.095 0.930
Zn 0.000 0.000 3.719
Zn 0.000 4.063 5.578
Zn 4.063 0.000 1.859
Zn 4.063 4.063 0.000
H 0.000 0.000 0.000
H 0.000 4.063 1.859
H 4.063 0.000 5.578
H 4.063 4.063 3.719
```

Output
**SG**: I-42d
**Electronic total energy**: -1.575 eV/atom
**M_tot**: 0.0 μB per formula unit

=====

[2]
A plane-wave DFT calculation with PBEsol was carried out for KZr2H after structural relaxation.

The structure in extended XYZ format:
```
8
Lattice="0.000 4.562 4.562 4.562 0.000 4.562 4.562 4.562 0.000" Properties=species:S:1:pos:R:3 pbc="T T T"
K 1.140 1.140 1.140
K 7.983 7.983 7.983
Zr 4.562 2.281 2.281
Zr 2.281 4.562 2.281
Zr 2.281 2.281 4.562
Zr 4.562 4.562 4.562
H 3.421 3.421 3.421
H 5.702 5.702 5.702
```

Output
**SG**: Fd-3m
**Electronic total energy**: -5.133 eV/atom
**M_tot**: 0.0 μB per formula unit

=====

[3]
A plane-wave DFT calculation with PBEsol was carried out for LaH3 after structural relaxation.

The structure in extended XYZ format:
```
16
Lattice="5.471 0.000 0.000 0.000 5.471 0.000 0.000 0.000 5.471" Properties=species:S:1:pos:R:3 pbc="T T T"
La 0.000 0.000 0.000
La 0.000 2.735 2.735
La 2.735 0.000 2.735
La 2.735 2.735 0.000
H 0.000 0.000 2.735
H 0.000 2.735 0.000
H 1.368 1.368 1.368
H 1.368 1.368 4.103
H 1.368 4.103 1.368
H 1.368 4.103 4.103
H 2.735 0.000 0.000
H 2.735 2.735 2.735
H 4.103 1.368 1.368
H 4.103 1.368 4.103
H 4.103 4.103 1.368
H 4.103 4.103 4.103
```

Output
**SG**: Fm-3m
**Electronic total energy**: -4.426 eV/atom
**M_tot**: 0.0 μB per formula unit

=====

[4]
A plane-wave DFT calculation with PBEsol was carried out for LaH2 after structural relaxation.

The structure in extended XYZ format:
```
12
Lattice="5.570 0.000 0.000 0.000 5.570 0.000 0.000 0.000 5.570" Properties=species:S:1:pos:R:3 pbc="T T T"
La 0.000 0.000 0.000
La 0.000 2.785 2.785
La 2.785 0.000 2.785
La 2.785 2.785 0.000
H 1.392 1.392 1.392
H 1.392 1.392 4.177
H 1.392 4.177 1.392
H 1.392 4.177 4.177
H 4.177 1.392 1.392
H 4.177 1.392 4.177
H 4.177 4.177 1.392
H 4.177 4.177 4.177
```

Output
**SG**: Fm-3m
**Electronic total energy**: -4.630 eV/atom
**M_tot**: 0.0 μB per formula unit

=====

[5]
A plane-wave DFT calculation with PBEsol was carried out for La2H5 after structural relaxation.

The structure in extended XYZ format:
```
14
Lattice="-2.739 2.739 5.593 2.739 -2.739 5.593 2.739 2.739 -5.593" Properties=species:S:1:pos:R:3 pbc="T T T"
La 2.739 1.370 -1.450
La 0.000 1.370 1.347
La 2.739 1.370 4.246
La 0.000 1.370 7.042
H 1.469 0.000 0.000
H 4.010 0.000 0.000
H 2.739 -1.370 4.194
H 1.370 2.838 -2.796
H 1.370 0.099 2.796
H 1.469 2.739 0.000
H 1.271 0.000 5.593
H -1.370 2.640 2.796
H 1.370 2.640 2.796
H 0.000 4.109 1.398
```

Output
**SG**: I4_1/amd
**Electronic total energy**: -4.526 eV/atom
**M_tot**: 0.0 μB per formula unit

=====

[6]
A plane-wave DFT calculation with PBEsol was carried out for LiLa2MgH after structural relaxation.

The structure in extended XYZ format:
```
5
Lattice="5.269 0.000 0.000 0.000 5.269 0.000 0.000 0.000 4.080" Properties=species:S:1:pos:R:3 pbc="T T T"
Li 0.000 0.000 0.000
La 0.000 2.635 2.040
La 2.635 0.000 2.040
Mg 2.635 2.635 0.000
H 0.000 0.000 2.040
```

Output
**SG**: P4/mmm
**Electronic total energy**: -3.724 eV/atom
**M_tot**: 0.0 μB per formula unit

=====

[7]
A plane-wave DFT calculation with PBEsol was carried out for LiLaNbH2 after structural relaxation.

The structure in extended XYZ format:
```
5
Lattice="3.934 0.000 0.000 0.000 3.934 0.000 0.000 0.000 4.696" Properties=species:S:1:pos:R:3 pbc="T T T"
Li 0.000 0.000 0.000
La 1.967 1.967 0.000
Nb 0.000 0.000 2.348
H 0.000 1.967 2.348
H 1.967 0.000 2.348
```

Output
**SG**: P4/mmm
**Electronic total energy**: -4.573 eV/atom
**M_tot**: 0.0 μB per formula unit

=====

[8]
A plane-wave DFT calculation with PBEsol was carried out for La2MgH2 after structural relaxation.

The structure in extended XYZ format:
```
10
Lattice="4.085 0.000 0.000 0.000 4.085 0.000 0.000 0.000 12.649" Properties=species:S:1:pos:R:3 pbc="T T T"
La 0.000 0.000 1.929
La 0.000 0.000 10.720
La 2.043 2.043 4.395
La 2.043 2.043 8.253
Mg 0.000 0.000 6.324
Mg 2.043 2.043 0.000
H 0.000 2.043 3.162
H 0.000 2.043 9.486
H 2.043 0.000 3.162
H 2.043 0.000 9.486
```

Output
**SG**: I4/mmm
**Electronic total energy**: -4.193 eV/atom
**M_tot**: 0.0 μB per formula unit

=====

[9]
A plane-wave DFT calculation with PBEsol was carried out for LaMg2H after structural relaxation.

The structure in extended XYZ format:
```
16
Lattice="7.241 0.000 0.000 0.000 7.241 0.000 0.000 0.000 7.241" Properties=species:S:1:pos:R:3 pbc="T T T"
La 0.000 0.000 0.000
La 0.000 3.621 3.621
La 3.621 0.000 3.621
La 3.621 3.621 0.000
Mg 1.810 1.810 1.810
Mg 1.810 1.810 5.431
Mg 1.810 5.431 1.810
Mg 1.810 5.431 5.431
Mg 5.431 1.810 1.810
Mg 5.431 1.810 5.431
Mg 5.431 5.431 1.810
Mg 5.431 5.431 5.431
H 0.000 0.000 3.621
H 0.000 3.621 0.000
H 3.621 0.000 0.000
H 3.621 3.621 3.621
```

Output
**SG**: Fm-3m
**Electronic total energy**: -2.372 eV/atom
**M_tot**: 0.0 μB per formula unit

=====

[10]
A plane-wave DFT calculation with PBEsol was carried out for La2MgHN after structural relaxation.

The structure in extended XYZ format:
```
5
Lattice="5.421 0.000 0.000 0.000 5.421 0.000 0.000 0.000 3.414" Properties=species:S:1:pos:R:3 pbc="T T T"
La 0.000 2.711 0.000
La 2.711 0.000 0.000
Mg 0.000 0.000 0.000
H 0.000 0.000 1.707
N 2.711 2.711 1.707
```

Output
**SG**: P4/mmm
**Electronic total energy**: -3.938 eV/atom
**M_tot**: 0.2 μB per formula unit

=====

[11]
A plane-wave DFT calculation with PBEsol was carried out for LaMgTcH2 after structural relaxation.

The structure in extended XYZ format:
```
5
Lattice="3.800 0.000 0.000 0.000 3.800 0.000 0.000 0.000 5.384" Properties=species:S:1:pos:R:3 pbc="T T T"
La 0.000 0.000 0.000
Mg 1.900 1.900 2.692
Tc 1.900 1.900 0.000
H 0.000 1.900 2.692
H 1.900 0.000 2.692
```

Output
**SG**: P4/mmm
**Electronic total energy**: -4.457 eV/atom
**M_tot**: 0.0 μB per formula unit

=====

[12]
A plane-wave DFT calculation with PBEsol was carried out for LaMn2H after structural relaxation.

The structure in extended XYZ format:
```
16
Lattice="6.158 0.000 0.000 0.000 6.158 0.000 0.000 0.000 6.158" Properties=species:S:1:pos:R:3 pbc="T T T"
La 0.000 0.000 0.000
La 0.000 3.079 3.079
La 3.079 0.000 3.079
La 3.079 3.079 0.000
Mn 1.540 1.540 1.540
Mn 1.540 1.540 4.619
Mn 1.540 4.619 1.540
Mn 1.540 4.619 4.619
Mn 4.619 1.540 1.540
Mn 4.619 1.540 4.619
Mn 4.619 4.619 1.540
Mn 4.619 4.619 4.619
H 0.000 0.000 3.079
H 0.000 3.079 0.000
H 3.079 0.000 0.000
H 3.079 3.079 3.079
```

Output
**SG**: Fm-3m
**Electronic total energy**: -5.956 eV/atom
**M_tot**: 5.4 μB per formula unit

=====

Repeat the twelfth record exactly.
A plane-wave DFT calculation with PBEsol was carried out for LaMn2H after structural relaxation.

The structure in extended XYZ format:
```
16
Lattice="6.158 0.000 0.000 0.000 6.158 0.000 0.000 0.000 6.158" Properties=species:S:1:pos:R:3 pbc="T T T"
La 0.000 0.000 0.000
La 0.000 3.079 3.079
La 3.079 0.000 3.079
La 3.079 3.079 0.000
Mn 1.540 1.540 1.540
Mn 1.540 1.540 4.619
Mn 1.540 4.619 1.540
Mn 1.540 4.619 4.619
Mn 4.619 1.540 1.540
Mn 4.619 1.540 4.619
Mn 4.619 4.619 1.540
Mn 4.619 4.619 4.619
H 0.000 0.000 3.079
H 0.000 3.079 0.000
H 3.079 0.000 0.000
H 3.079 3.079 3.079
```

Output
**SG**: Fm-3m
**Electronic total energy**: -5.956 eV/atom
**M_tot**: 5.4 μB per formula unit

=====

Which of these has the highest M_tot? LaMn2H